First-principles (GGA-PBEsol) data for crystalline SrZnNi2 at its relaxed geometry, as listed in the Alexandria database.

Structure (CIF):
```
data_SrZnNi2
_cell_length_a 7.097
_cell_length_b 4.084
_cell_length_c 5.703
_cell_angle_alpha 90.00
_cell_angle_beta 114.36
_cell_angle_gamma 90.00
_symmetry_space_group_name_H-M 'C 1 m 1'
_symmetry_Int_Tables_number 8
loop_
_symmetry_equiv_pos_as_xyz
'x,y,z'
'x,-y,z'
'x+1/2,y+1/2,z'
'x+1/2,-y+1/2,z'
loop_
_atom_site_label
_atom_site_fract_x
_atom_site_fract_y
_atom_site_fract_z
Sr1 0.000 0.000 0.000
Zn1 0.312 0.500 0.433
Ni1 0.005 0.500 0.513
Ni2 0.189 0.000 0.566
```

Values from the calculation:
- Calculated formation energy: -0.133 eV/atom
- Crystal system: monoclinic
- V: 18.821 Å³/atom



First-principles (GGA-PBEsol) data for crystalline TmClO at its relaxed geometry, as listed in the Alexandria database.

Structure (CIF):
```
data_TmClO
_cell_length_a 3.657
_cell_length_b 4.083
_cell_length_c 8.624
_cell_angle_alpha 90.00
_cell_angle_beta 90.00
_cell_angle_gamma 90.00
_symmetry_space_group_name_H-M 'P m m n'
_symmetry_Int_Tables_number 59
loop_
_symmetry_equiv_pos_as_xyz
'x,y,z'
'-x,-y,-z'
'-x+1/2,-y+1/2,z'
'x+1/2,y+1/2,-z'
'x+1/2,-y,-z'
'-x+1/2,y,z'
'-x,y+1/2,-z'
'x,-y+1/2,z'
loop_
_atom_site_label
_atom_site_fract_x
_atom_site_fract_y
_atom_site_fract_z
Tm1 0.250 0.250 0.119
Cl1 0.250 0.750 0.664
O1 0.250 0.750 0.031
```

Values from the calculation:
- Formation energy without anion corrections: -3.130 eV/atom
- Crystal system: orthorhombic
- V: 21.462 Å³/atom



First-principles (GGA-PBEsol) data for crystalline AlFe2Mo at its relaxed geometry, as listed in the Alexandria database.

Structure (CIF):
```
data_AlFe2Mo
_cell_length_a 3.677
_cell_length_b 3.677
_cell_length_c 3.766
_cell_angle_alpha 90.00
_cell_angle_beta 90.00
_cell_angle_gamma 90.00
_symmetry_space_group_name_H-M 'P 4/m m m'
_symmetry_Int_Tables_number 123
_symmetry_space_group_name_Hall '-P 4 2'
loop_
_atom_site_label
_atom_site_fract_x
_atom_site_fract_y
_atom_site_fract_z
Al1 0.000 0.000 0.000
Fe1 0.000 0.500 0.500
Mo1 0.500 0.500 0.000
```

Values from the calculation:
- Calculated formation energy: 0.029 eV/atom
- Crystal system: tetragonal
- V: 12.731 Å³/atom



First-principles (GGA-PBEsol) data for crystalline Hf3TcRu at its relaxed geometry, as listed in the Alexandria database.

Structure (CIF):
```
data_Hf3TcRu
_cell_length_a 4.802
_cell_length_b 4.802
_cell_length_c 4.802
_cell_angle_alpha 90.00
_cell_angle_beta 90.00
_cell_angle_gamma 90.00
_symmetry_space_group_name_H-M 'P m -3 m'
_symmetry_Int_Tables_number 221
_symmetry_space_group_name_Hall '-P 4 2 3'
loop_
_atom_site_label
_atom_site_fract_x
_atom_site_fract_y
_atom_site_fract_z
Hf1 0.000 0.000 0.500
Tc1 0.000 0.000 0.000
Ru1 0.500 0.500 0.500
```

Values from the calculation:
- Calculated formation energy: 0.912 eV/atom
- Crystal system: cubic
- V: 22.153 Å³/atom



First-principles (GGA-PBEsol) data for crystalline AsPPbCl2 at its relaxed geometry, as listed in the Alexandria database.

Structure (CIF):
```
data_AsPPbCl2
_cell_length_a 5.204
_cell_length_b 5.204
_cell_length_c 5.503
_cell_angle_alpha 90.00
_cell_angle_beta 90.00
_cell_angle_gamma 90.00
_symmetry_space_group_name_H-M 'P 4/m m m'
_symmetry_Int_Tables_number 123
_symmetry_space_group_name_Hall '-P 4 2'
loop_
_atom_site_label
_atom_site_fract_x
_atom_site_fract_y
_atom_site_fract_z
As1 0.000 0.000 0.000
P1 0.500 0.500 0.000
Pb1 0.500 0.500 0.500
Cl1 0.000 0.500 0.500
```

Values from the calculation:
- Formation energy without anion corrections: 0.545 eV/atom
- Crystal system: tetragonal
- V: 29.807 Å³/atom



First-principles (GGA-PBEsol) data for crystalline Al5Os at its relaxed geometry, as listed in the Alexandria database.

Structure (CIF):
```
data_Al5Os
_cell_length_a 7.077
_cell_length_b 7.077
_cell_length_c 7.077
_cell_angle_alpha 90.00
_cell_angle_beta 90.00
_cell_angle_gamma 90.00
_symmetry_space_group_name_H-M 'F -4 3 m'
_symmetry_Int_Tables_number 216
_symmetry_space_group_name_Hall 'F -4 2 3'
loop_
_atom_site_label
_atom_site_fract_x
_atom_site_fract_y
_atom_site_fract_z
Al1 0.000 0.000 0.000
Al2 0.124 0.124 0.624
Os1 0.250 0.250 0.250
```

Values from the calculation:
- Calculated formation energy: 0.181 eV/atom
- Crystal system: cubic
- V: 14.770 Å³/atom



First-principles (GGA-PBEsol) data for crystalline ReIrPd2O at its relaxed geometry, as listed in the Alexandria database.

Structure (CIF):
```
data_ReIrPd2O
_cell_length_a 4.109
_cell_length_b 4.109
_cell_length_c 4.054
_cell_angle_alpha 90.00
_cell_angle_beta 90.00
_cell_angle_gamma 90.00
_symmetry_space_group_name_H-M 'P 4/m m m'
_symmetry_Int_Tables_number 123
_symmetry_space_group_name_Hall '-P 4 2'
loop_
_atom_site_label
_atom_site_fract_x
_atom_site_fract_y
_atom_site_fract_z
Re1 0.000 0.000 0.000
Ir1 0.500 0.500 0.000
Pd1 0.000 0.500 0.500
O1 0.500 0.500 0.500
```

Values from the calculation:
- Formation energy without anion corrections: 0.814 eV/atom
- Crystal system: tetragonal
- V: 13.688 Å³/atom



First-principles (GGA-PBEsol) data for crystalline Ca3Co2O7 at its relaxed geometry, as listed in the Alexandria database.

Structure (CIF):
```
data_Ca3Co2O7
_cell_length_a 19.357
_cell_length_b 5.111
_cell_length_c 5.153
_cell_angle_alpha 90.00
_cell_angle_beta 90.00
_cell_angle_gamma 90.00
_symmetry_space_group_name_H-M 'C m c 21'
_symmetry_Int_Tables_number 36
loop_
_symmetry_equiv_pos_as_xyz
'x,y,z'
'-x,-y,z+1/2'
'-x,y,z'
'x,-y,z+1/2'
'x+1/2,y+1/2,z'
'-x+1/2,-y+1/2,z+1/2'
'-x+1/2,y+1/2,z'
'x+1/2,-y+1/2,z+1/2'
loop_
_atom_site_label
_atom_site_fract_x
_atom_site_fract_y
_atom_site_fract_z
Ca1 0.000 0.243 0.000
Ca2 0.187 0.248 0.921
Co1 0.097 0.250 0.458
O1 0.000 0.317 0.449
O2 0.085 0.048 0.755
O3 0.108 0.453 0.161
O4 0.195 0.215 0.457
```

Values from the calculation:
- Formation energy without anion corrections: -1.997 eV/atom
- Crystal system: orthorhombic
- V: 10.620 Å³/atom